1.
VASP calculation (GGA-PBE) on a relaxed structure of ZnFeCoCu.

Energy above the most stable polymorph in this dataset = 0 kJ/mol of formula units

```
4
Lattice="0.000 2.874 2.874 2.874 0.000 2.874 2.874 2.874 0.000" Properties=species:S:1:pos:R:3 pbc="T T T"
Zn 0.000 0.000 0.000
Fe 2.874 2.874 2.874
Co 4.311 4.311 4.311
Cu 1.437 1.437 1.437
```


2.
VASP calculation (GGA-PBE) on a relaxed structure of Gd2TmSn3Pt3.

Total DFT energy (no corrections) = -0.220 Ha/atom

```
9
Lattice="4.032 0.000 0.000 0.000 6.495 3.767 0.000 -6.495 3.767" Properties=species:S:1:pos:R:3 pbc="T T T"
Gd 0.000 -3.853 3.767
Gd 0.000 3.853 3.767
Tm 0.000 0.000 4.588
Sn 2.016 -1.677 2.509
Sn 2.016 1.677 2.509
Sn 2.016 0.000 7.128
Pt 0.000 0.000 1.557
Pt 2.016 -2.130 5.290
Pt 2.016 2.130 5.290
```


3.
VASP calculation (GGA-PBE) on a relaxed structure of LiErGe.

Energy above the most stable polymorph in this dataset = 10 kJ/mol of formula units

```
6
Lattice="4.371 0.000 0.000 -2.186 3.786 0.000 0.000 0.000 7.062" Properties=species:S:1:pos:R:3 pbc="T T T"
Li 0.000 2.524 1.765
Li 2.186 1.262 5.296
Er 0.000 0.000 0.000
Er 0.000 0.000 3.531
Ge 0.000 2.524 5.296
Ge 2.186 1.262 1.765
```


4.
VASP calculation (GGA-PBE) on a relaxed structure of SbPt7.

Energy above the most stable polymorph in this dataset = 0 kJ/mol of formula units

```
16
Lattice="2.901 0.000 0.000 0.000 3.863 0.000 0.000 0.000 33.398" Properties=species:S:1:pos:R:3 pbc="T T T"
Sb 0.725 0.966 6.119
Sb 2.176 2.897 27.279
Pt 0.725 0.966 9.022
Pt 0.725 0.966 11.823
Pt 0.725 0.966 14.618
Pt 0.725 0.966 17.396
Pt 0.725 0.966 20.173
Pt 0.725 0.966 22.969
Pt 0.725 0.966 25.891
Pt 2.176 2.897 7.507
Pt 2.176 2.897 10.429
Pt 2.176 2.897 13.225
Pt 2.176 2.897 16.002
Pt 2.176 2.897 18.781
Pt 2.176 2.897 21.575
Pt 2.176 2.897 24.376
```


5.
VASP calculation (GGA-PBE) on a relaxed structure of Sn2Pt2N3.

Total DFT energy (no corrections) = -0.215 Ha/atom

```
14
Lattice="3.480 0.000 0.000 -1.740 3.013 0.000 0.000 0.000 21.963" Properties=species:S:1:pos:R:3 pbc="T T T"
Sn 0.000 2.009 2.784
Sn 0.000 2.009 8.197
Sn 1.740 1.004 13.766
Sn 1.740 1.004 19.178
Pt 0.000 0.000 0.000
Pt 0.000 0.000 10.981
Pt 0.000 2.009 5.491
Pt 1.740 1.004 16.472
N 0.000 0.000 2.026
N 0.000 0.000 8.955
N 0.000 0.000 13.007
N 0.000 0.000 19.937
N 0.000 2.009 16.472
N 1.740 1.004 5.491
```


6.
VASP calculation (GGA-PBE) on a relaxed structure of RbLa2CuSe3S.

Energy above the most stable polymorph in this dataset = 7 kJ/mol of formula units

```
16
Lattice="2.121 -7.333 0.000 2.121 7.333 0.000 0.000 0.000 14.768" Properties=species:S:1:pos:R:3 pbc="T T T"
Rb 2.121 5.732 11.076
Rb 2.121 -5.732 3.692
La 2.121 1.909 8.269
La 2.121 1.909 13.884
La 2.121 -1.909 0.884
La 2.121 -1.909 6.500
Cu 2.121 4.952 3.692
Cu 2.121 -4.952 11.076
Se 2.121 3.491 1.684
Se 2.121 3.491 5.701
Se 2.121 1.030 11.076
Se 2.121 -1.030 3.692
Se 2.121 -3.491 9.068
Se 2.121 -3.491 13.085
S 0.000 0.000 0.000
S 0.000 0.000 7.384
```